Entry from the Alexandria database: a relaxed ScIrBr2 crystal (PBE).

a b c (Å): 8.4215 8.4215 8.4215
angles (deg): 26.23 26.23 26.23
Last column: nearest neighbours and their distance in Å.
Fractional positions:
Sc (0.0000, 0.0000, 0.0000)  2 Br 2.64
Ir (0.5000, 0.5000, 0.5000)  6 Br 2.62
Br (0.1084, 0.1084, 0.1084)  3 Ir 2.62, 1 Sc 2.64
Br (0.8916, 0.8916, 0.8916)  3 Ir 2.62, 1 Sc 2.64

Results
electronic total energy: -4.228 eV per atom
SG: No. 166
crystal system: trigonal
relative energy among the computed polymorphs: 1124 meV/atom


Entry from the Alexandria database: a relaxed ScIrBr4 crystal (PBE).

a b c (Å): 5.9983 5.9983 5.9983
angles (deg): 60.00 60.00 60.00
Last column: nearest neighbours and their distance in Å.
Fractional positions:
Sc (0.0000, 0.0000, 0.0000)  12 Br 3.52, 4 Ir 3.67
Ir (0.2500, 0.2500, 0.2500)  12 Br 3.52, 4 Sc 3.67
Br (0.1263, 0.6246, 0.6246)  6 Br 2.99-3.01
Br (0.6246, 0.1263, 0.6246)  6 Br 2.99-3.01
Br (0.6246, 0.6246, 0.1263)  6 Br 2.99-3.01
Br (0.6246, 0.6246, 0.6246)  6 Br 2.99-3.01

Results
electronic total energy: -2.635 eV per atom
SG: No. 216
crystal system: cubic


Entry from the Alexandria database: a relaxed ScIrBr2 crystal (PBE).

a b c (Å): 4.7589 4.7589 4.7589
angles (deg): 60.00 60.00 60.00
Last column: nearest neighbours and their distance in Å.
Fractional positions:
Sc (0.0000, 0.0000, 0.0000)  8 Br 2.91
Ir (0.5000, 0.5000, 0.5000)  8 Br 2.91
Br (0.2500, 0.2500, 0.2500)  4 Ir 2.91, 4 Sc 2.91
Br (0.7500, 0.7500, 0.7500)  4 Ir 2.91, 4 Sc 2.91

Results
electronic total energy: -4.534 eV per atom
SG: No. 225
crystal system: cubic
relative energy among the computed polymorphs: 818 meV/atom


Entry from the Alexandria database: a relaxed Sc2IrBr crystal (PBE).

a b c (Å): 4.7856 4.7856 4.7856
angles (deg): 60.00 60.00 60.00
Last column: nearest neighbours and their distance in Å.
Fractional positions:
Sc (0.0000, 0.0000, 0.0000)  4 Br 2.93, 4 Sc 2.93
Sc (0.2500, 0.2500, 0.2500)  4 Ir 2.93, 4 Sc 2.93
Ir (0.5000, 0.5000, 0.5000)  4 Br 2.93, 4 Sc 2.93
Br (0.7500, 0.7500, 0.7500)  4 Sc 2.93, 4 Ir 2.93

Results
electronic total energy: -5.707 eV per atom
SG: No. 216
crystal system: cubic
relative energy among the computed polymorphs: 1054 meV/atom


Entry from the Alexandria database: a relaxed ScIrBr2 crystal (PBE).

a b c (Å): 4.1522 4.1522 7.5012
angles (deg): 96.65 96.65 60.31
Last column: nearest neighbours and their distance in Å.
Fractional positions:
Sc (0.0000, 0.0000, 0.0000)  3 Ir 2.52-2.62
Ir (0.3054, 0.3054, 0.8698)  3 Sc 2.52-2.62, 3 Br 2.55-2.64
Br (0.3726, 0.3726, 0.2121)  1 Ir 2.55, 2 Sc 2.85
Br (0.7629, 0.7629, 0.6530)  2 Ir 2.64, 1 Sc 2.91

Results
electronic total energy: -5.214 eV per atom
SG: No. 8
crystal system: monoclinic
relative energy among the computed polymorphs: 137 meV/atom


Entry from the Alexandria database: a relaxed Sc2IrBr crystal (PBE).

a b c (Å): 5.4436 5.4436 4.6550
angles (deg): 90.25 90.25 34.16
Last column: nearest neighbours and their distance in Å.
Fractional positions:
Sc (0.0000, 0.0000, 0.0000)  3 Br 2.72-2.95, 4 Ir 2.82-2.83
Sc (0.7445, 0.7445, 0.5033)  1 Ir 2.66, 4 Br 2.83
Ir (0.4891, 0.4891, 0.5009)  5 Sc 2.66-2.83
Br (0.2618, 0.2618, 0.0037)  7 Sc 2.72-2.95

Results
electronic total energy: -6.463 eV per atom
SG: No. 8
crystal system: monoclinic
relative energy among the computed polymorphs: 298 meV/atom


Entry from the Alexandria database: a relaxed ScIrBr2 crystal (PBE).

a b c (Å): 7.3545 7.3545 7.3545
angles (deg): 152.47 147.26 43.29
Last column: nearest neighbours and their distance in Å.
Fractional positions:
Sc (0.0000, 0.0000, 0.0000)  2 Ir 2.53
Ir (0.8664, 0.3664, 0.5000)  2 Sc 2.53, 4 Br 2.72
Br (0.3581, 0.8581, 0.5000)  4 Ir 2.72, 2 Sc 2.84
Br (0.6045, 0.6045, 0.0000)  4 Sc 3.07

Results
electronic total energy: -5.123 eV per atom
SG: No. 44
crystal system: orthorhombic
relative energy among the computed polymorphs: 228 meV/atom


Entry from the Alexandria database: a relaxed ScIrBr2 crystal (PBE).

a b c (Å): 7.6941 7.6941 4.1399
angles (deg): 92.91 92.91 26.59
Last column: nearest neighbours and their distance in Å.
Fractional positions:
Sc (0.0000, 0.0000, 0.0000)  4 Ir 2.72, 4 Br 2.87
Ir (0.5000, 0.5000, 0.5000)  2 Br 2.47, 4 Sc 2.72
Br (0.3589, 0.3589, 0.7825)  1 Ir 2.47
Br (0.6411, 0.6411, 0.2175)  1 Ir 2.47

Results
electronic total energy: -5.351 eV per atom
SG: No. 12
crystal system: monoclinic
relative energy among the computed polymorphs: 0 meV/atom


Entry from the Alexandria database: a relaxed ScIrBr2 crystal (PBE).

a b c (Å): 4.4599 4.4599 3.7867
angles (deg): 90.00 90.00 90.00
Last column: nearest neighbours and their distance in Å.
Fractional positions:
Sc (0.0000, 0.0000, 0.0000)  8 Br 2.93, 4 Ir 3.15
Ir (0.5000, 0.5000, 0.0000)  8 Br 2.93, 4 Sc 3.15
Br (0.0000, 0.5000, 0.5000)  4 Sc 2.93, 4 Ir 2.93, 4 Br 3.15
Br (0.5000, 0.0000, 0.5000)  4 Sc 2.93, 4 Ir 2.93, 4 Br 3.15

Results
electronic total energy: -4.590 eV per atom
SG: No. 123
crystal system: tetragonal
relative energy among the computed polymorphs: 762 meV/atom


Entry from the Alexandria database: a relaxed Sc2IrBr crystal (PBE).

a b c (Å): 6.2775 6.2775 6.2775
angles (deg): 112.13 112.13 104.28
Last column: nearest neighbours and their distance in Å.
Fractional positions:
Sc (0.0983, 0.6250, 0.9733)  2 Ir 2.54, 2 Br 2.79
Sc (0.3750, 0.3483, 0.4733)  2 Ir 2.54, 2 Br 2.79
Sc (0.6517, 0.1250, 0.0267)  2 Ir 2.54, 2 Br 2.79
Sc (0.8750, 0.9017, 0.5267)  2 Ir 2.54, 2 Br 2.79
Ir (0.0000, 0.0000, 0.0000)  4 Sc 2.54
Ir (0.7500, 0.2500, 0.5000)  4 Sc 2.54
Br (0.2500, 0.7500, 0.5000)  4 Sc 2.79
Br (0.5000, 0.5000, 0.0000)  4 Sc 2.79

Results
electronic total energy: -6.295 eV per atom
SG: No. 122
crystal system: tetragonal
relative energy among the computed polymorphs: 466 meV/atom


Entry from the Alexandria database: a relaxed ScIrBr2 crystal (PBE).

a b c (Å): 3.2328 3.2328 10.2266
angles (deg): 90.00 90.00 116.81
Last column: nearest neighbours and their distance in Å.
Fractional positions:
Sc (0.0000, 0.0000, 0.0000)  4 Br 2.61
Ir (0.0000, 0.0000, 0.5000)  6 Ir 3.23-3.39, 4 Br 3.55
Br (0.5000, 0.5000, 0.1945)  2 Sc 2.61
Br (0.5000, 0.5000, 0.8055)  2 Sc 2.61

Results
electronic total energy: -4.332 eV per atom
SG: No. 65
crystal system: orthorhombic
relative energy among the computed polymorphs: 1019 meV/atom


Entry from the Alexandria database: a relaxed Sc2IrBr crystal (PBE).

a b c (Å): 3.2539 3.2539 7.7920
angles (deg): 90.00 90.00 90.00
Last column: nearest neighbours and their distance in Å.
Fractional positions:
Sc (0.0000, 0.0000, 0.2029)  4 Ir 2.79
Sc (0.0000, 0.0000, 0.7971)  4 Ir 2.79
Ir (0.5000, 0.5000, 0.0000)  8 Sc 2.79
Br (0.5000, 0.5000, 0.5000)  4 Br 3.25, 8 Sc 3.26

Results
electronic total energy: -6.648 eV per atom
SG: No. 123
crystal system: tetragonal
relative energy among the computed polymorphs: 113 meV/atom


Entry from the Alexandria database: a relaxed Sc2IrBr crystal (PBE).

a b c (Å): 9.6268 9.6268 9.6268
angles (deg): 18.87 18.87 18.87
Last column: nearest neighbours and their distance in Å.
Fractional positions:
Sc (0.0869, 0.0869, 0.0869)  1 Ir 2.46
Sc (0.9131, 0.9131, 0.9131)  1 Ir 2.46
Ir (0.0000, 0.0000, 0.0000)  2 Sc 2.46
Br (0.5000, 0.5000, 0.5000)  6 Sc 2.91, 6 Br 3.16

Results
electronic total energy: -5.913 eV per atom
SG: No. 166
crystal system: trigonal
relative energy among the computed polymorphs: 848 meV/atom


Entry from the Alexandria database: a relaxed ScIrBr2 crystal (PBE).

a b c (Å): 9.8575 9.8575 9.8575
angles (deg): 19.32 19.32 19.32
Last column: nearest neighbours and their distance in Å.
Fractional positions:
Sc (0.0000, 0.0000, 0.0000)  6 Br 2.65
Ir (0.5000, 0.5000, 0.5000)  6 Ir 3.31, 6 Br 3.56
Br (0.2701, 0.2701, 0.2701)  3 Sc 2.65
Br (0.7299, 0.7299, 0.7299)  3 Sc 2.65

Results
electronic total energy: -4.559 eV per atom
SG: No. 166
crystal system: trigonal
relative energy among the computed polymorphs: 792 meV/atom


Entry from the Alexandria database: a relaxed Sc2IrBr crystal (PBE).

a b c (Å): 4.7790 4.7790 4.7790
angles (deg): 60.00 60.00 60.00
Last column: nearest neighbours and their distance in Å.
Fractional positions:
Sc (0.2500, 0.2500, 0.2500)  4 Br 2.93, 4 Ir 2.93
Sc (0.7500, 0.7500, 0.7500)  4 Br 2.93, 4 Ir 2.93
Ir (0.0000, 0.0000, 0.0000)  8 Sc 2.93
Br (0.5000, 0.5000, 0.5000)  8 Sc 2.93

Results
electronic total energy: -6.288 eV per atom
SG: No. 225
crystal system: cubic
relative energy among the computed polymorphs: 473 meV/atom


Entry from the Alexandria database: a relaxed ScIrBr2 crystal (PBE).

a b c (Å): 5.5926 5.5926 5.5926
angles (deg): 146.62 117.73 72.52
Last column: nearest neighbours and their distance in Å.
Fractional positions:
Sc (0.0000, 0.0000, 0.0000)  4 Br 2.76
Ir (0.5000, 0.5000, 0.0000)  4 Br 2.78
Br (0.2486, 0.7486, 0.5000)  2 Sc 2.76, 2 Ir 2.78
Br (0.7514, 0.2514, 0.5000)  2 Sc 2.76, 2 Ir 2.78

Results
electronic total energy: -4.529 eV per atom
SG: No. 71
crystal system: orthorhombic
relative energy among the computed polymorphs: 822 meV/atom


Entry from the Alexandria database: a relaxed Sc2IrBr crystal (PBE).

a b c (Å): 7.7978 7.7978 7.7978
angles (deg): 155.78 153.28 36.37
Last column: nearest neighbours and their distance in Å.
Fractional positions:
Sc (0.0000, 0.0000, 0.0000)  4 Ir 2.70, 2 Br 3.01
Sc (0.7942, 0.2942, 0.5000)  2 Ir 2.60
Ir (0.4209, 0.4209, 0.0000)  6 Sc 2.60-2.70
Br (0.1704, 0.6704, 0.5000)  6 Sc 3.01-3.05, 2 Br 3.27

Results
electronic total energy: -6.607 eV per atom
SG: No. 44
crystal system: orthorhombic
relative energy among the computed polymorphs: 154 meV/atom


Entry from the Alexandria database: a relaxed ScIrBr3 crystal (PBE).

a b c (Å): 5.0833 5.0833 5.0833
angles (deg): 90.00 90.00 90.00
Last column: nearest neighbours and their distance in Å.
Fractional positions:
Sc (0.0000, 0.0000, 0.0000)  12 Br 3.59
Ir (0.5000, 0.5000, 0.5000)  6 Br 2.54
Br (0.0000, 0.5000, 0.5000)  2 Ir 2.54
Br (0.5000, 0.0000, 0.5000)  2 Ir 2.54
Br (0.5000, 0.5000, 0.0000)  2 Ir 2.54

Results
electronic total energy: -3.877 eV per atom
SG: No. 221
crystal system: cubic
relative energy among the computed polymorphs: 20 meV/atom


Entry from the Alexandria database: a relaxed ScIrBr3 crystal (PBE).

a b c (Å): 5.2879 5.2879 5.2879
angles (deg): 90.00 90.00 90.00
Last column: nearest neighbours and their distance in Å.
Fractional positions:
Sc (0.0000, 0.0000, 0.0000)  6 Br 2.64
Ir (0.5000, 0.5000, 0.5000)  12 Br 3.74
Br (0.0000, 0.0000, 0.5000)  2 Sc 2.64
Br (0.0000, 0.5000, 0.0000)  2 Sc 2.64
Br (0.5000, 0.0000, 0.0000)  2 Sc 2.64

Results
electronic total energy: -3.897 eV per atom
SG: No. 221
crystal system: cubic
relative energy among the computed polymorphs: 0 meV/atom


Entry from the Alexandria database: a relaxed ScIrBr2 crystal (PBE).

a b c (Å): 3.2303 4.3984 5.6775
angles (deg): 90.00 90.00 90.00
Last column: nearest neighbours and their distance in Å.
Fractional positions:
Sc (0.0000, 0.0000, 0.0000)  4 Br 2.73
Ir (0.5000, 0.0000, 0.5000)  4 Br 2.73
Br (0.0000, 0.5000, 0.5000)  4 Ir 2.73
Br (0.5000, 0.5000, 0.0000)  4 Sc 2.73

Results
electronic total energy: -4.681 eV per atom
SG: No. 47
crystal system: orthorhombic
relative energy among the computed polymorphs: 671 meV/atom